The following is a PBE calculation of a relaxed NdHgIr crystal, from OQMD.

Lattice parameters (Å, degrees): 6.7497 6.7497 6.7497 90.00 90.00 90.00
Closest atoms and distances in Å follow each position.
Space group F-43m (No. 216)
Unique sites:
Nd (0.0000, 0.0000, 0.0000)  4 Ir 2.92
Hg (0.0000, 0.0000, 0.5000)  4 Ir 2.92
Ir (0.2500, 0.2500, 0.2500)  4 Hg 2.92, 4 Nd 2.92

Values from the calculation:
magnetization: 0.000 μB/atom
DFT total energy: -14.9 eV/f.u.
ΔE_f: -0.994 eV/f.u.

***

The following is a PBE calculation of a relaxed Tm3Mg3Tl2Hg crystal, from OQMD.

Lattice parameters (Å, degrees): 7.5606 7.5606 4.3872 90.00 90.00 120.00
Closest atoms and distances in Å follow each position.
Space group P-62m (No. 189)
Unique sites:
Tm (0.0000, 0.5809, 0.0000)  4 Tl 3.15, 1 Hg 3.17, 6 Mg 3.37-3.52
Mg (0.0000, 0.2420, 0.5000)  2 Hg 2.86, 2 Tl 2.93, 2 Mg 3.17
Tl (0.3333, 0.6667, 0.5000)  3 Mg 2.93, 6 Tm 3.15
Hg (0.0000, 0.0000, 0.0000)  6 Mg 2.86, 3 Tm 3.17

Values from the calculation:
magnetization: 0.000 μB/atom
DFT total energy: -26.1 eV/f.u.